No. 1
# LiPmNd2Se5

A relaxed structure of LiPmNd2Se5 (PBE-GGA, Alexandria via LeMat-Bulk).

Output
The total energy is -98.5 eV/cell. Its formation energy without anion corrections is -1.74 eV per atom.

a b c (Å): 4.177 8.964 12.565
angles (deg): 90.00 90.00 103.47
Sites, in units of the cell vectors:
1 Se 0.712 0.424 0.164
2 Se 0.955 0.911 0.574
3 Se 0.288 0.576 0.664
4 Se 0.692 0.384 0.838
5 Se 0.636 0.272 0.498
6 Se 0.045 0.089 0.074
7 Se 0.502 0.003 0.785
8 Se 0.364 0.728 0.998
9 Se 0.498 0.997 0.285
10 Se 0.308 0.616 0.338
11 Li 0.513 0.026 0.983
12 Li 0.487 0.974 0.483
13 Nd 0.877 0.754 0.797
14 Nd 0.109 0.217 0.685
15 Nd 0.123 0.246 0.297
16 Nd 0.891 0.783 0.185
17 Pm 0.196 0.392 0.001
18 Pm 0.804 0.608 0.501

---

No. 2
# LiPmNdSe3

A relaxed structure of LiPmNdSe3 (PBE-GGA, Alexandria via LeMat-Bulk).

Output
The total energy is -63.9 eV/cell. Its formation energy without anion corrections is -1.68 eV per atom.

a b c (Å): 4.055 8.631 8.921
angles (deg): 102.21 90.00 90.00
Sites, in units of the cell vectors:
1 Nd 0.250 0.184 0.222
2 Nd 0.750 0.816 0.778
3 Li 0.750 0.915 0.416
4 Li 0.250 0.085 0.584
5 Se 0.750 0.422 0.176
6 Se 0.250 0.786 0.506
7 Se 0.250 0.578 0.824
8 Se 0.750 0.908 0.131
9 Se 0.750 0.214 0.494
10 Se 0.250 0.092 0.869
11 Pm 0.250 0.663 0.165
12 Pm 0.750 0.337 0.835

---

No. 3
# LiPm2NdSe4

A relaxed structure of LiPm2NdSe4 (PBE-GGA, Alexandria via LeMat-Bulk).

Output
The total energy is -44.3 eV/cell. Its formation energy without anion corrections is -1.77 eV per atom.

a b c (Å): 4.166 7.221 7.222
angles (deg): 109.38 90.00 90.00
Sites, in units of the cell vectors:
1 Nd 0.000 0.000 0.000
2 Pm 0.000 0.500 0.500
3 Pm 0.500 0.000 0.500
4 Se 0.000 0.259 0.757
5 Se 0.500 0.742 0.754
6 Se 0.500 0.258 0.246
7 Se 0.000 0.741 0.243
8 Li 0.500 0.500 0.000

---

No. 4
# Li2PmNdSi2

A relaxed structure of Li2PmNdSi2 (PBE-GGA, Alexandria via LeMat-Bulk).

Output
The total energy is -27.4 eV/cell. Its formation energy without anion corrections is -0.54 eV per atom.

a b c (Å): 4.459 4.459 7.488
angles (deg): 90.00 90.00 120.00
Sites, in units of the cell vectors:
1 Li 0.667 0.333 0.244
2 Li 0.333 0.667 0.756
3 Si 0.333 0.667 0.247
4 Si 0.667 0.333 0.753
5 Nd 0.000 0.000 0.500
6 Pm 0.000 0.000 0.000

---

No. 5
# Li2Pm2NdSi2

A relaxed structure of Li2Pm2NdSi2 (PBE-GGA, Alexandria via LeMat-Bulk).

Output
The total energy is -31.7 eV/cell. Its formation energy without anion corrections is -0.39 eV per atom.

a b c (Å): 4.516 4.516 9.539
angles (deg): 76.31 76.31 60.00
Sites, in units of the cell vectors:
1 Pm 0.873 0.873 0.382
2 Pm 0.127 0.127 0.618
3 Si 0.737 0.737 0.789
4 Si 0.263 0.263 0.211
5 Nd 0.000 0.000 0.000
6 Li 0.401 0.401 0.798
7 Li 0.599 0.599 0.202

---

No. 6
# LiPmNdSi

A relaxed structure of LiPmNdSi (PBE-GGA, Alexandria via LeMat-Bulk).

Output
The total energy is -18.2 eV/cell. Its formation energy without anion corrections is -0.35 eV per atom.

a b c (Å): 5.135 5.135 5.135
angles (deg): 60.00 60.00 60.00
Sites, in units of the cell vectors:
1 Pm 0.000 0.000 0.000
2 Si 0.750 0.750 0.750
3 Nd 0.500 0.500 0.500
4 Li 0.250 0.250 0.250